VASP calculation (PBE-GGA) on crystalline LiScTl4 at its relaxed geometry.

Summary:
Its space-group type is F-43m (216). Its offset from the most stable computed form is 156 meV per atom.

a = 6.2216 Å, b = 6.2216 Å, c = 6.2216 Å
α = 60.00°, β = 60.00°, γ = 60.00°
Last column: nearest neighbours and their distance in Å.
Fractional positions:
Li 0.7500 0.7500 0.7500  12 Tl 3.65, 4 Sc 3.81
Sc 0.0000 0.0000 0.0000  12 Tl 3.65, 4 Li 3.81
Tl 0.3749 0.8754 0.3749  6 Tl 3.11
Tl 0.8754 0.3749 0.3749  6 Tl 3.11
Tl 0.3749 0.3749 0.8754  6 Tl 3.11
Tl 0.3749 0.3749 0.3749  6 Tl 3.11

***

VASP calculation (PBE-GGA) on crystalline BaMnRh at its relaxed geometry.

Summary:
Its space-group type is C2 (5). The value obtained for the uncorrected energy is -34.69 eV/cell.

a = 6.1053 Å, b = 5.5672 Å, c = 6.0102 Å
α = 116.49°, β = 54.71°, γ = 101.92°
Last column: nearest neighbours and their distance in Å.
Fractional positions:
Mn 0.5938 0.3276 0.1476  1 Mn 2.04
Mn 0.3217 0.0556 0.2734  1 Mn 2.04
Rh 0.0790 0.2916 0.8362  2 Mn 2.41-2.53, 1 Rh 2.62
Rh 0.3579 0.5703 0.0636  2 Mn 2.41-2.53, 1 Rh 2.62
Ba 0.6591 0.9901 0.5091  4 Mn 3.24-3.43, 2 Rh 3.27
Ba 0.9619 0.6874 0.7063  4 Rh 2.97-3.12

***

VASP calculation (PBE-GGA) on crystalline Ag2TeCl at its relaxed geometry.

Summary:
Its space-group type is R3m (160). The formation energy from raw total energies comes out at -162 meV/atom. Its offset from the most stable computed form is 32 meV per atom.

a = 3.8486 Å, b = 3.8486 Å, c = 7.7574 Å
α = 75.64°, β = 75.64°, γ = 60.00°
Last column: nearest neighbours and their distance in Å.
Fractional positions:
Ag 0.0842 0.0842 0.7475  3 Cl 2.85, 3 Te 2.89
Ag 0.2506 0.2506 0.2481  3 Te 2.91, 3 Cl 2.94
Te 0.6679 0.6679 0.9963  6 Ag 2.89-2.91
Cl 0.4973 0.4973 0.5081  6 Ag 2.85-2.94

***

VASP calculation (PBE-GGA) on crystalline ZrAlTc2 at its relaxed geometry.

Summary:
Its space-group type is Immm (71). The value obtained for the uncorrected energy is -33.70 eV/cell.

a = 5.1611 Å, b = 5.1611 Å, c = 5.1611 Å
α = 143.41°, β = 125.70°, γ = 67.27°
Last column: nearest neighbours and their distance in Å.
Fractional positions:
Tc 0.9991 0.9991 0.0000  2 Al 2.68, 2 Zr 2.70, 4 Tc 2.86
Tc 0.5009 0.5009 0.0000  2 Al 2.68, 2 Zr 2.70, 4 Tc 2.86
Zr 0.2500 0.7500 0.5000  4 Tc 2.70, 4 Al 2.86
Al 0.7500 0.2500 0.5000  4 Tc 2.68, 4 Zr 2.86

***

VASP calculation (PBE-GGA) on crystalline Ac2HfAs3Rh4 at its relaxed geometry.

Summary:
Its space-group type is P-4m2 (115). The value obtained for the uncorrected energy is -70.77 eV/cell.

a = 4.2675 Å, b = 4.2675 Å, c = 11.0882 Å
α = 90.00°, β = 90.00°, γ = 90.00°
Last column: nearest neighbours and their distance in Å.
Fractional positions:
Ac 0.5000 0.0000 0.2362  6 As 3.24-3.62, 8 Rh 3.32-3.38, 2 Hf 3.62
Ac 0.0000 0.5000 0.7638  6 As 3.24-3.62, 8 Rh 3.32-3.38, 2 Hf 3.62
Hf 0.5000 0.5000 0.5000  4 Rh 2.63
As 0.0000 0.0000 0.5000  4 Rh 2.63
As 0.5000 0.0000 0.8703  5 Rh 2.56-2.57
As 0.0000 0.5000 0.1297  5 Rh 2.56-2.57
Rh 0.5000 0.5000 0.0000  4 As 2.57
Rh 0.0000 0.0000 0.0000  4 As 2.57
Rh 0.5000 0.0000 0.6391  3 As 2.56-2.63, 2 Hf 2.63
Rh 0.0000 0.5000 0.3609  3 As 2.56-2.63, 2 Hf 2.63

***

VASP calculation (PBE-GGA) on crystalline Li9LaAg3 at its relaxed geometry.

Summary:
Its space-group type is C2/m (12). The value obtained for the uncorrected energy is -31.93 eV/cell.

a = 5.6662 Å, b = 7.4197 Å, c = 7.2034 Å
α = 80.62°, β = 66.84°, γ = 65.51°
Last column: nearest neighbours and their distance in Å.
Fractional positions:
Li 0.7242 0.7794 0.7739  3 Ag 2.72-2.83, 5 Li 2.76-3.00
Li 0.2758 0.2206 0.2261  3 Ag 2.72-2.83, 5 Li 2.76-3.00
Li 0.5019 0.2206 0.7739  3 Ag 2.72-2.83, 5 Li 2.76-3.00
Li 0.4981 0.7794 0.2261  3 Ag 2.72-2.83, 5 Li 2.76-3.00
Li 0.6247 0.3471 0.3592  5 Li 2.80-3.06, 3 Ag 2.87-2.91
Li 0.3753 0.6529 0.6408  5 Li 2.80-3.06, 3 Ag 2.87-2.91
Li 0.0161 0.6529 0.3592  5 Li 2.80-3.06, 3 Ag 2.87-2.91
Li 0.9839 0.3471 0.6408  5 Li 2.80-3.06, 3 Ag 2.87-2.91
Li 0.0000 0.5000 0.0000  8 Li 2.76-3.04, 2 Ag 2.83
La 0.0000 0.0000 0.0000  14 Li 3.34-3.71, 6 Ag 3.60-3.62
Ag 0.5000 0.5000 0.0000  10 Li 2.83-2.88
Ag 0.0000 0.0000 0.5000  8 Li 2.72-2.91, 2 Ag 2.83
Ag 0.5000 0.0000 0.5000  8 Li 2.72-2.91, 2 Ag 2.83

***

VASP calculation (PBE-GGA) on crystalline Pm2HPdPt6 at its relaxed geometry.

Summary:
Its space-group type is R-3m (166). The value obtained for the uncorrected energy is -61.05 eV/cell.

a = 5.5950 Å, b = 7.2718 Å, c = 7.2720 Å
α = 45.25°, β = 67.37°, γ = 90.01°
Last column: nearest neighbours and their distance in Å.
Fractional positions:
Pm 0.7126 0.2875 0.5745  6 Pt 3.04, 3 Pd 3.35
Pm 0.2874 0.7125 0.4255  6 Pt 3.04, 3 Pd 3.35
H 0.5000 0.5000 0.0000  6 Pt 2.01
Pd 0.0000 0.0000 0.0000  6 Pt 2.63
Pt 0.2714 0.2226 0.4568  1 H 2.01
Pt 0.7775 0.7286 0.9507  1 H 2.01
Pt 0.2715 0.7286 0.9505  1 H 2.01
Pt 0.7285 0.2714 0.0495  1 H 2.01
Pt 0.2225 0.2714 0.0493  1 H 2.01
Pt 0.7286 0.7774 0.5432  1 H 2.01

***

VASP calculation (PBE-GGA) on crystalline Y3MgRu at its relaxed geometry.

Summary:
Its space-group type is Fmmm (69). Its offset from the most stable computed form is 0 meV per atom.

a = 5.9165 Å, b = 5.9165 Å, c = 8.7681 Å
α = 102.02°, β = 102.02°, γ = 112.51°
Last column: nearest neighbours and their distance in Å.
Fractional positions:
Y 0.2968 0.7969 0.0937  4 Ru 3.05, 2 Y 3.37
Y 0.7032 0.2031 0.9063  4 Ru 3.05, 2 Y 3.37
Y 0.0802 0.1953 0.2755  2 Ru 2.83
Y 0.9198 0.8047 0.7245  2 Ru 2.83
Y 0.6953 0.5802 0.2755  2 Ru 2.83
Y 0.3047 0.4198 0.7245  2 Ru 2.83
Mg 0.7077 0.2077 0.5000  1 Mg 2.73
Mg 0.2923 0.7923 0.5000  1 Mg 2.73
Ru 0.2500 0.2500 0.0000  8 Y 2.83-3.05
Ru 0.7500 0.7500 0.0000  8 Y 2.83-3.05

***

VASP calculation (PBE-GGA) on crystalline Na2CuTcN at its relaxed geometry.

Summary:
Its space-group type is P4/mmm (123). The formation energy from raw total energies comes out at 1140 meV/atom.

a = 5.5581 Å, b = 3.4268 Å, c = 5.5581 Å
α = 90.00°, β = 90.00°, γ = 90.00°
Last column: nearest neighbours and their distance in Å.
Fractional positions:
Na 0.0000 0.0000 0.5000  2 Cu 2.78
Na 0.5000 0.0000 0.0000  2 Cu 2.78
Tc 0.5000 0.5000 0.5000  8 Na 3.26, 2 Tc 3.43
Cu 0.0000 0.0000 0.0000  2 N 1.71
N 0.0000 0.5000 0.0000  2 Cu 1.71

***

VASP calculation (PBE-GGA) on crystalline TbSc3Fe at its relaxed geometry.

Summary:
Its space-group type is Pm-3m (221). The value obtained for the uncorrected energy is -32.06 eV/cell.

a = 4.9268 Å, b = 4.9268 Å, c = 4.9268 Å
α = 90.00°, β = 90.00°, γ = 90.00°
Last column: nearest neighbours and their distance in Å.
Fractional positions:
Sc 0.0000 0.5000 0.0000  2 Fe 2.46
Sc 0.0000 0.0000 0.5000  2 Fe 2.46
Sc 0.5000 0.0000 0.0000  2 Fe 2.46
Tb 0.5000 0.5000 0.5000  12 Sc 3.48
Fe 0.0000 0.0000 0.0000  6 Sc 2.46

***

VASP calculation (PBE-GGA) on crystalline PRh2Se at its relaxed geometry.

Summary:
Its space-group type is F-43m (216). The formation energy from raw total energies comes out at 400 meV/atom.

a = 4.4186 Å, b = 4.4186 Å, c = 4.4186 Å
α = 60.00°, β = 60.00°, γ = 60.00°
Last column: nearest neighbours and their distance in Å.
Fractional positions:
P 0.5000 0.5000 0.5000  4 Rh 2.71, 4 Se 2.71
Rh 0.0000 0.0000 0.0000  4 Rh 2.71, 4 Se 2.71
Rh 0.7500 0.7500 0.7500  4 P 2.71, 4 Rh 2.71
Se 0.2500 0.2500 0.2500  4 Rh 2.71, 4 P 2.71

***

VASP calculation (PBE-GGA) on crystalline SrSnO2 at its relaxed geometry.

Summary:
Its space-group type is Pnma (62). The formation energy from raw total energies comes out at -2005 meV/atom.

a = 3.7642 Å, b = 6.1721 Å, c = 15.1668 Å
α = 90.00°, β = 90.00°, γ = 90.00°
Last column: nearest neighbours and their distance in Å.
Fractional positions:
Sr 0.2500 0.2529 0.3050  6 O 2.53-2.62
Sr 0.2500 0.2471 0.8050  6 O 2.53-2.62
Sr 0.7500 0.7471 0.6950  6 O 2.53-2.62
Sr 0.7500 0.7529 0.1950  6 O 2.53-2.62
Sn 0.2500 0.2468 0.5727  2 O 2.00
Sn 0.2500 0.2532 0.0727  2 O 2.00
Sn 0.7500 0.7532 0.4273  2 O 2.00
Sn 0.7500 0.7468 0.9273  2 O 2.00
O 0.2500 0.0098 0.6624  1 Sn 2.00
O 0.2500 0.4902 0.1624  1 Sn 2.00
O 0.7500 0.9902 0.3376  1 Sn 2.00
O 0.7500 0.5098 0.8376  1 Sn 2.00
O 0.2500 0.4847 0.6621  1 Sn 2.00
O 0.2500 0.0153 0.1621  1 Sn 2.00
O 0.7500 0.5153 0.3379  1 Sn 2.00
O 0.7500 0.9847 0.8379  1 Sn 2.00